Entry 1:
Here is an optimized crystal structure of Sr4Al3BiO12 from the Alexandria database. Energies are from GGA-PBE.

- total DFT energy (no corrections) (Ry/atom) = -0.474
- theoretical density (g/cm3) = 5.6
- crystal system = cubic
- uncorrected formation energy (eV per formula unit) = -47.60
- D(E_F) (states/eV/atom) = 0.406

Cell lengths 6.831, 6.831, 6.831 Å; angles 109.47, 109.47, 109.47 degrees
Atoms (fractional coordinates):
Sr: 0.000 0.000 0.500
Sr: 0.000 0.500 0.000
Sr: 0.500 0.000 0.000
Sr: 0.500 0.500 0.500
Al: 0.000 0.500 0.500
Al: 0.500 0.000 0.500
Al: 0.500 0.500 0.000
Bi: 0.000 0.000 0.000
O: 0.000 0.263 0.263
O: 0.000 0.737 0.737
O: 0.250 0.500 0.750
O: 0.250 0.750 0.500
O: 0.263 0.000 0.263
O: 0.263 0.263 0.000
O: 0.500 0.250 0.750
O: 0.500 0.750 0.250
O: 0.737 0.000 0.737
O: 0.737 0.737 0.000
O: 0.750 0.250 0.500
O: 0.750 0.500 0.250

=====

Entry 2:
Here is an optimized crystal structure of TaAl2BiO8 from the Alexandria database. Energies are from GGA-PBE.

- total DFT energy (no corrections) (Ry/atom) = -0.548
- theoretical density (g/cm3) = 6.8
- crystal system = tetragonal
- uncorrected formation energy (eV per formula unit) = -26.53
- D(E_F) (states/eV/atom) = 0.065

Cell lengths 5.653, 5.653, 5.653 Å; angles 108.84, 108.84, 110.73 degrees
Atoms (fractional coordinates):
Ta: 0.000 0.000 0.000
Al: 0.250 0.750 0.500
Al: 0.500 0.500 0.000
Bi: 0.750 0.250 0.500
O: 0.063 0.366 0.303
O: 0.063 0.759 0.697
O: 0.119 0.296 0.823
O: 0.241 0.937 0.303
O: 0.473 0.296 0.177
O: 0.634 0.937 0.697
O: 0.704 0.527 0.823
O: 0.704 0.881 0.177

=====

Entry 3:
Here is an optimized crystal structure of AlTcBiO6 from the Alexandria database. Energies are from GGA-PBE.

- total DFT energy (no corrections) (Ry/atom) = -0.518
- theoretical density (g/cm3) = 6.4
- crystal system = trigonal
- uncorrected formation energy (eV per formula unit) = -15.68
- D(E_F) (states/eV/atom) = 0.197

Cell lengths 5.105, 5.105, 4.952 Å; angles 90.00, 90.00, 120.00 degrees
Atoms (fractional coordinates):
Al: 0.000 0.000 0.000
Tc: 0.333 0.667 0.000
Bi: 0.667 0.333 0.500
O: 0.038 0.330 0.213
O: 0.038 0.708 0.787
O: 0.292 0.330 0.787
O: 0.292 0.962 0.213
O: 0.670 0.708 0.213
O: 0.670 0.962 0.787

=====

Entry 4:
Here is an optimized crystal structure of TiAlBiO6 from the Alexandria database. Energies are from GGA-PBE.

- total DFT energy (no corrections) (Ry/atom) = -0.524
- theoretical density (g/cm3) = 6.3
- crystal system = trigonal
- uncorrected formation energy (eV per formula unit) = -18.89
- D(E_F) (states/eV/atom) = 0.013

Cell lengths 5.059, 5.059, 4.533 Å; angles 90.00, 90.00, 120.00 degrees
Atoms (fractional coordinates):
Ti: 0.000 0.000 0.000
Al: 0.333 0.667 0.000
Bi: 0.667 0.333 0.500
O: 0.026 0.341 0.230
O: 0.026 0.685 0.770
O: 0.315 0.341 0.770
O: 0.315 0.974 0.230
O: 0.659 0.685 0.230
O: 0.659 0.974 0.770

=====

Entry 5:
Here is an optimized crystal structure of AlTl2BiO6 from the Alexandria database. Energies are from GGA-PBE.

- total DFT energy (no corrections) (Ry/atom) = -0.402
- theoretical density (g/cm3) = 7.4
- crystal system = monoclinic
- uncorrected formation energy (eV per formula unit) = -12.57
- D(E_F) (states/eV/atom) = 0.000

Cell lengths 7.737, 7.737, 6.137 Å; angles 104.95, 104.95, 99.91 degrees
Atoms (fractional coordinates):
Al: 0.172 0.828 0.750
Al: 0.828 0.172 0.250
Tl: 0.276 0.461 0.363
Tl: 0.461 0.276 0.863
Tl: 0.539 0.724 0.137
Tl: 0.724 0.539 0.637
Bi: 0.098 0.902 0.250
Bi: 0.902 0.098 0.750
O: 0.043 0.183 0.179
O: 0.140 0.677 0.466
O: 0.183 0.043 0.679
O: 0.296 0.447 0.004
O: 0.323 0.860 0.034
O: 0.447 0.296 0.504
O: 0.553 0.704 0.496
O: 0.677 0.140 0.966
O: 0.704 0.553 0.996
O: 0.817 0.957 0.321
O: 0.860 0.323 0.534
O: 0.957 0.817 0.821

=====

Entry 6:
Here is an optimized crystal structure of AlTlBi2O6 from the Alexandria database. Energies are from GGA-PBE.

- total DFT energy (no corrections) (Ry/atom) = -0.428
- theoretical density (g/cm3) = 8.9
- crystal system = trigonal
- uncorrected formation energy (eV per formula unit) = -14.56
- D(E_F) (states/eV/atom) = 0.000

Cell lengths 5.843, 5.843, 5.843 Å; angles 59.14, 59.14, 59.14 degrees
Atoms (fractional coordinates):
Al: 0.000 0.000 0.000
Tl: 0.488 0.488 0.488
Bi: 0.217 0.217 0.217
Bi: 0.712 0.712 0.712
O: 0.137 0.818 0.328
O: 0.266 0.690 0.858
O: 0.328 0.137 0.818
O: 0.690 0.858 0.266
O: 0.818 0.328 0.137
O: 0.858 0.266 0.690